Entry 1:
A plane-wave DFT calculation with PBE was carried out for crystalline Tb5Sn2Ir2 at its relaxed geometry.

Structure (extended XYZ):
```
18
Lattice="7.785 -4.183 0.000 7.785 4.183 0.000 0.000 0.000 7.252" Properties=species:S:1:pos:R:3 pbc="T T T"
Tb 0.000 0.000 0.000
Tb 5.909 2.681 4.746
Tb 5.909 1.502 1.120
Tb 9.661 2.681 4.746
Tb 9.661 1.502 1.120
Tb 7.785 0.000 3.626
Tb 5.909 -1.502 6.132
Tb 5.909 -2.681 2.506
Tb 9.661 -1.502 6.132
Tb 9.661 -2.681 2.506
Sn 3.321 0.000 0.000
Sn 4.464 0.000 3.626
Sn 11.107 0.000 3.626
Sn 12.249 0.000 0.000
Ir 7.785 3.127 2.664
Ir 7.785 1.056 6.290
Ir 7.785 -1.056 0.962
Ir 7.785 -3.127 4.588
```

Properties
Calculated formation energy = -718 meV per atom
Total magnetic moment = 0.00 μB/atom
Energy = -6.15 eV/atom
Calculated volume = 472 Å³/cell

Entry 2:
A plane-wave DFT calculation with PBE was carried out for crystalline Sr2Tm2Bi2As at its relaxed geometry.

Structure (extended XYZ):
```
14
Lattice="5.319 0.000 0.000 0.000 5.319 0.000 0.000 0.000 17.254" Properties=species:S:1:pos:R:3 pbc="T T T"
Sr 0.000 0.000 3.030
Sr 0.000 0.000 14.224
Sr 2.659 2.659 5.597
Sr 2.659 2.659 11.658
Tm 0.000 2.659 0.000
Tm 0.000 2.659 8.627
Tm 2.659 0.000 0.000
Tm 2.659 0.000 8.627
Bi 0.000 0.000 6.466
Bi 0.000 0.000 10.788
Bi 2.659 2.659 2.161
Bi 2.659 2.659 15.093
As 0.000 0.000 0.000
As 2.659 2.659 8.627
```

Properties
Calculated formation energy = -902 meV per atom
Total magnetic moment = 0.00 μB/atom
Energy = -4.43 eV/atom
Calculated volume = 488 Å³/cell

Entry 3:
A plane-wave DFT calculation with PBE was carried out for crystalline Rb2Na5Tl5 at its relaxed geometry.

Structure (extended XYZ):
```
12
Lattice="5.470 0.000 0.000 0.000 6.726 0.000 0.000 0.000 11.819" Properties=species:S:1:pos:R:3 pbc="T T T"
Rb 0.000 0.000 0.000
Rb 0.000 3.363 5.909
Na 0.000 0.000 3.718
Na 0.000 0.000 8.100
Na 0.000 3.363 1.976
Na 0.000 3.363 9.843
Na 2.735 0.000 5.909
Tl 2.735 1.668 2.890
Tl 2.735 1.668 8.929
Tl 2.735 3.363 0.000
Tl 2.735 5.057 2.890
Tl 2.735 5.057 8.929
```

Properties
Calculated formation energy = -58 meV per atom
Total magnetic moment = 0.00 μB/atom
Energy = -1.75 eV/atom
Calculated volume = 435 Å³/cell